# 1
Ac2MgTl2 | PBE | relaxed

Properties
DOS at the Fermi energy ... 4.724 states/eV/f.u.
Calculated formation energy ... -0.276 eV/atom
Electronic total energy ... -3.19 eV per atom
Polymorph energy (0 for the lowest one) ... 0.043 eV/atom

```
data_Ac2MgTl2
_cell_length_a 4.7134
_cell_length_b 6.8884
_cell_length_c 10.3536
_cell_angle_alpha 90.00
_cell_angle_beta 90.00
_cell_angle_gamma 90.00
_symmetry_space_group_name_H-M 'I m m m'
_symmetry_Int_Tables_number 71
_symmetry_space_group_name_Hall '-I 2 2'
loop_
_atom_site_label
_atom_site_fract_x
_atom_site_fract_y
_atom_site_fract_z
_atom_site_occupancy
Ac1 0.0000 0.0000 0.2075 1
Mg1 0.0000 0.5000 0.0000 1
Tl1 0.0000 0.2636 0.5000 1
```

# 2
AcMg4Tl | PBE | relaxed

Properties
DOS at the Fermi energy ... 2.053 states/eV/f.u.
Calculated formation energy ... -0.094 eV/atom
Electronic total energy ... -2.24 eV per atom
Polymorph energy (0 for the lowest one) ... 0.000 eV/atom

```
data_AcMg4Tl
_cell_length_a 8.5947
_cell_length_b 4.7541
_cell_length_c 8.1626
_cell_angle_alpha 90.00
_cell_angle_beta 90.00
_cell_angle_gamma 90.00
_symmetry_space_group_name_H-M 'P m m a'
_symmetry_Int_Tables_number 51
_symmetry_space_group_name_Hall '-P 2a 2a'
loop_
_atom_site_label
_atom_site_fract_x
_atom_site_fract_y
_atom_site_fract_z
_atom_site_occupancy
Ac1 0.2500 0.0000 0.1307 1
Mg1 0.0000 0.0000 0.5000 1
Mg2 0.0516 0.5000 0.8082 1
Mg3 0.2500 0.5000 0.4524 1
Tl1 0.2500 0.0000 0.7266 1
```

# 3
AcMg6Tl4 | PBE | relaxed

Properties
DOS at the Fermi energy ... 1.935 states/eV/f.u.
Calculated formation energy ... -0.127 eV/atom
Electronic total energy ... -2.23 eV per atom
Polymorph energy (0 for the lowest one) ... 0.000 eV/atom

```
data_AcMg6Tl4
_cell_length_a 8.4399
_cell_length_b 8.4399
_cell_length_c 4.6435
_cell_angle_alpha 90.00
_cell_angle_beta 90.00
_cell_angle_gamma 120.00
_symmetry_space_group_name_H-M 'P -6 m 2'
_symmetry_Int_Tables_number 187
_symmetry_space_group_name_Hall 'P -6 2'
loop_
_atom_site_label
_atom_site_fract_x
_atom_site_fract_y
_atom_site_fract_z
_atom_site_occupancy
Ac1 0.0000 0.0000 0.0000 1
Mg1 0.2070 0.4140 0.5000 1
Mg2 0.5351 0.0702 0.0000 1
Tl1 0.3333 0.6667 0.0000 1
Tl2 0.3823 0.1911 0.5000 1
```

# 4
Ac5Mg2Tl2 | PBE | relaxed

Properties
DOS at the Fermi energy ... 11.450 states/eV/f.u.
Calculated formation energy ... -0.107 eV/atom
Electronic total energy ... -3.27 eV per atom

```
data_Ac5Mg2Tl2
_cell_length_a 18.4170
_cell_length_b 8.7449
_cell_length_c 8.5749
_cell_angle_alpha 90.00
_cell_angle_beta 90.00
_cell_angle_gamma 90.00
_symmetry_space_group_name_H-M 'C m c e'
_symmetry_Int_Tables_number 64
_symmetry_space_group_name_Hall '-C 2ac 2'
loop_
_atom_site_label
_atom_site_fract_x
_atom_site_fract_y
_atom_site_fract_z
_atom_site_occupancy
Ac1 0.0000 0.0000 0.0000 1
Ac2 0.1440 0.1838 0.3258 1
Mg1 0.0000 0.1196 0.6185 1
Tl1 0.2129 0.0000 0.0000 1
```

Question: Which of these has the highest electronic total energy?
Answer: AcMg6Tl4